Record 1
Computed, not measured: a relaxed structure of Ca4U3InAs8 at the GGA-PBE level of DFT.

## Properties
DOS(E_F)	20.1	states/eV/f.u.
energy relative to the elements	-0.844	eV/atom
total magnetic moment	0.31	μB per atom
symmetry	R-3m, No. 166

```
data_Ca4U3InAs8
_chemical_formula_sum 'Ca4 U3 In1 As8'
_space_group_name_H-M_alt 'P 1'
_space_group_IT_number 1
_space_group_name_Hall 'P 1'
_cell_length_a 8.3051
_cell_length_b 8.3910
_cell_length_c 8.3055
_cell_angle_alpha 119.66
_cell_angle_beta 120.00
_cell_angle_gamma 90.00
loop_
_atom_site_label
_atom_site_type_symbol
_atom_site_fract_x
_atom_site_fract_y
_atom_site_fract_z
_atom_site_occupancy
Ca1 Ca 0.0000 0.0000 0.5000 1
As1 As 0.7525 0.2681 0.5050 1
As2 As 0.2627 0.2690 0.0157 1
As3 As 0.2564 0.2685 0.5127 1
U1 U 0.0000 0.5000 0.5000 1
Ca2 Ca 0.5000 0.0000 0.0000 1
As4 As 0.7531 0.2690 0.0157 1
U2 U 0.5000 0.5000 0.5000 1
As5 As 0.2475 0.7319 0.4950 1
U3 U 0.5000 0.5000 0.0000 1
In1 In 0.0000 0.5000 0.0000 1
As6 As 0.7436 0.7315 0.4873 1
As7 As 0.2469 0.7310 0.9843 1
Ca3 Ca 0.0000 0.0000 0.0000 1
Ca4 Ca 0.5000 0.0000 0.5000 1
As8 As 0.7373 0.7310 0.9843 1
```

Record 2
Computed, not measured: a relaxed structure of CaErOs4 at the GGA-PBE level of DFT.

## Properties
DOS(E_F)	6.6	states/eV/f.u.
energy relative to the elements	-0.080	eV/atom
total magnetic moment	0.00	μB per atom
symmetry	F-43m, No. 216

```
data_CaErOs4
_chemical_formula_sum 'Ca1 Er1 Os4'
_space_group_name_H-M_alt 'P 1'
_space_group_IT_number 1
_space_group_name_Hall 'P 1'
_cell_length_a 5.3439
_cell_length_b 5.3439
_cell_length_c 5.3439
_cell_angle_alpha 60.00
_cell_angle_beta 60.00
_cell_angle_gamma 60.00
loop_
_atom_site_label
_atom_site_type_symbol
_atom_site_fract_x
_atom_site_fract_y
_atom_site_fract_z
_atom_site_occupancy
Os1 Os 0.6250 0.1249 0.6250 1
Os2 Os 0.6250 0.6250 0.6250 1
Os3 Os 0.6250 0.6250 0.1249 1
Ca1 Ca 0.2500 0.2500 0.2500 1
Os4 Os 0.1249 0.6250 0.6250 1
Er1 Er 0.0000 0.0000 0.0000 1
```

Record 3
Computed, not measured: a relaxed structure of MgAl6Cu12 at the GGA-PBE level of DFT.

## Properties
DOS(E_F)	6.7	states/eV/f.u.
energy relative to the elements	0.017	eV/atom
total magnetic moment	0.00	μB per atom
symmetry	R-3m, No. 166

```
data_MgAl6Cu12
_chemical_formula_sum 'Mg1 Al6 Cu12'
_space_group_name_H-M_alt 'P 1'
_space_group_IT_number 1
_space_group_name_Hall 'P 1'
_cell_length_a 6.8499
_cell_length_b 6.8499
_cell_length_c 6.8499
_cell_angle_alpha 105.09
_cell_angle_beta 105.09
_cell_angle_gamma 105.09
loop_
_atom_site_label
_atom_site_type_symbol
_atom_site_fract_x
_atom_site_fract_y
_atom_site_fract_z
_atom_site_occupancy
Cu1 Cu 0.1123 0.8877 0.5000 1
Cu2 Cu 0.3546 0.3546 0.1105 1
Cu3 Cu 0.8877 0.5000 0.1123 1
Al1 Al 0.7046 0.3036 0.7046 1
Cu4 Cu 0.8895 0.6454 0.6454 1
Cu5 Cu 0.3546 0.1105 0.3546 1
Cu6 Cu 0.5000 0.8877 0.1123 1
Cu7 Cu 0.6454 0.8895 0.6454 1
Al2 Al 0.6964 0.2954 0.2954 1
Al3 Al 0.2954 0.2954 0.6964 1
Cu8 Cu 0.6454 0.6454 0.8895 1
Al4 Al 0.2954 0.6964 0.2954 1
Mg1 Mg 0.0000 0.0000 0.0000 1
Cu9 Cu 0.1105 0.3546 0.3546 1
Cu10 Cu 0.1123 0.5000 0.8877 1
Al5 Al 0.3036 0.7046 0.7046 1
Cu11 Cu 0.5000 0.1123 0.8877 1
Al6 Al 0.7046 0.7046 0.3036 1
Cu12 Cu 0.8877 0.1123 0.5000 1
```

Record 4
Computed, not measured: a relaxed structure of YAgSn3 at the GGA-PBE level of DFT.

## Properties
DOS(E_F)	5.2	states/eV/f.u.
energy relative to the elements	0.230	eV/atom
total magnetic moment	0.00	μB per atom
symmetry	Pm-3m, No. 221
offset from the most stable computed form	2.85	eV per formula unit

```
data_YAgSn3
_chemical_formula_sum 'Y1 Ag1 Sn3'
_space_group_name_H-M_alt 'P 1'
_space_group_IT_number 1
_space_group_name_Hall 'P 1'
_cell_length_a 5.3273
_cell_length_b 5.3273
_cell_length_c 5.3273
_cell_angle_alpha 90.00
_cell_angle_beta 90.00
_cell_angle_gamma 90.00
loop_
_atom_site_label
_atom_site_type_symbol
_atom_site_fract_x
_atom_site_fract_y
_atom_site_fract_z
_atom_site_occupancy
Sn1 Sn 0.0000 0.0000 0.5000 1
Sn2 Sn 0.5000 0.0000 0.0000 1
Y1 Y 0.5000 0.5000 0.5000 1
Ag1 Ag 0.0000 0.0000 0.0000 1
Sn3 Sn 0.0000 0.5000 0.0000 1
```